Below is crystalline AlAs2Ru at its relaxed geometry, with properties calculated at the GGA-PBE level.

Summary:
Magnetization   0.0 μB per formula unit
SG   No. 160
Formation energy   -0.5 eV per formula unit

Unit cell a=9.1767 b=9.1767 c=9.1767 alpha=18.84 beta=18.84 gamma=18.84
Fractional positions:
Al 0.0000 0.0000 0.0000
As 0.5276 0.5276 0.5276
As 0.7440 0.7440 0.7440
Ru 0.2602 0.2602 0.2602